First-principles (GGA+U) data for a geometry-optimized Ca2NpNiO6 structure, as listed in Alexandria via LeMat-Bulk.

abc: 5.648 5.648 4.333
angles: 90.00 90.00 90.00
Space group P4mm (No. 99)
Symmetry-distinct sites (fractional):
Ca 0.000 0.500 0.000
Np 0.000 0.000 0.592
Ni 0.500 0.500 0.589
O 0.000 0.000 0.096
O 0.248 0.248 0.631
O 0.500 0.500 0.103

Summary:
- volume (Å³ per atom) = 13.8
- VASP energy (eV/atom) = -7.33
- magnetic moment (μB per cell) = 3.0